Entry 1:
# ReBi3H (PBE-GGA, relaxed)
data_ReBi3H
_cell_length_a 4.780
_cell_length_b 4.780
_cell_length_c 4.780
_cell_angle_alpha 90.00
_cell_angle_beta 90.00
_cell_angle_gamma 90.00
_symmetry_space_group_name_H-M 'P m -3 m'
_symmetry_Int_Tables_number 221
_symmetry_space_group_name_Hall '-P 4 2 3'
loop_
_atom_site_label
_atom_site_type_symbol
_atom_site_fract_x
_atom_site_fract_y
_atom_site_fract_z
Re1 Re 0.000 0.000 0.000
Bi1 Bi 0.000 0.500 0.500
H1 H 0.500 0.500 0.500
# Mass density: 12.38 Mg/m³
# Calculated total energy: -4.38 eV per atom

***

Entry 2:
# Re3BiH (PBE-GGA, relaxed)
data_Re3BiH
_cell_length_a 5.017
_cell_length_b 5.017
_cell_length_c 5.017
_cell_angle_alpha 90.00
_cell_angle_beta 90.00
_cell_angle_gamma 90.00
_symmetry_space_group_name_H-M 'P m -3 m'
_symmetry_Int_Tables_number 221
_symmetry_space_group_name_Hall '-P 4 2 3'
loop_
_atom_site_label
_atom_site_type_symbol
_atom_site_fract_x
_atom_site_fract_y
_atom_site_fract_z
Re1 Re 0.000 0.000 0.500
Bi1 Bi 0.000 0.000 0.000
H1 H 0.500 0.500 0.500
# Mass density: 10.11 Mg/m³
# Calculated total energy: -4.96 eV per atom

***

Question: Look up the calculated total energy of the second one.
Answer: -4.96 eV per atom